DFT (PBE) results for a relaxed La2Hg4PdAu crystal.

a b c (Å): 8.5263 4.4096 10.3877
angles (deg): 90.00 90.00 90.00
Space group Amm2 (No. 38)
Unique sites:
La 0.0000 0.0000 0.0000 [2 per cell]
La 0.5000 0.0000 0.1386 [2 per cell]
Hg 0.2065 0.0000 0.7087 [4 per cell]
Hg 0.3064 0.0000 0.4316 [4 per cell]
Pd 0.5000 0.0000 0.8470 [2 per cell]
Au 0.0000 0.0000 0.2937 [2 per cell]

Results
total moment	0.03	μB/cell
crystal system	orthorhombic
E	-47.871	eV per cell